## Li5MgSn6 (PBE)

Data for crystalline Li5MgSn6 at its relaxed geometry.

Its density of states at the Fermi level is 3.27 states/eV/cell. The electronic total energy comes out at -3.216 eV/atom. Its space group is P2/m (10). The formation energy comes out at -0.285 eV per atom.

Structure (POSCAR):
```
Li5MgSn6
1.0
4.6894 -0.0277 1.4899
0.0375 7.0045 0.0125
-0.0903 -0.0132 7.7196
Mg Sn Li
1 6 5
Cartesian
0.0000 0.0000 0.0000
2.2641 1.8008 8.4678
3.8874 5.2056 3.8778
2.3724 5.1628 0.7542
3.8689 1.7438 3.8716
0.7492 1.7579 5.3442
0.7677 5.2197 5.3504
3.0860 6.9772 6.1899
3.0821 3.4750 6.1522
1.5544 3.4885 3.0698
0.0188 3.5022 0.0063
1.5506 -0.0137 3.0321
```

## Ba3Hg2Au3 (PBE)

Data for crystalline Ba3Hg2Au3 at its relaxed geometry.

Its density of states at the Fermi level is 10.50 states/eV/cell. The electronic total energy comes out at -2.647 eV/atom. Its space group is Cmcm (63). The formation energy comes out at -0.622 eV per atom.

Structure (POSCAR):
```
Ba3Hg2Au3
1.0
4.8660 0.0000 0.0000
-2.4330 6.2391 0.0000
0.0000 0.0000 16.8179
Ba Au Hg
6 6 4
Cartesian
0.0000 4.6192 12.6134
0.0000 1.1845 10.1047
2.4330 5.0547 1.6958
2.4330 5.0547 6.7131
0.0000 1.1845 15.1221
2.4330 1.6199 4.2045
0.0000 4.9977 16.0774
2.4330 1.2414 0.7405
0.0000 4.2889 4.2045
0.0000 4.9977 9.1494
2.4330 1.2414 7.6685
2.4330 1.9503 12.6134
0.0000 2.5310 6.7022
2.4330 3.7082 10.1157
2.4330 3.7082 15.1112
0.0000 2.5310 1.7067
```

## CeGdMgTc (PBE)

Data for crystalline CeGdMgTc at its relaxed geometry.

Its density of states at the Fermi level is 6.01 states/eV/cell. The electronic total energy comes out at -7.939 eV/atom. Its space group is F-43m (216). The formation energy comes out at 0.054 eV per atom.

Structure (POSCAR):
```
CeGdMgTc
1.0
-0.9843 -2.5073 -4.3043
-3.4344 -3.7399 -0.0310
-4.4474 0.6567 -2.3605
Tc Ce Mg Gd
1 1 1 1
Cartesian
-6.6496 -4.1929 -5.0219
-4.4330 -2.7952 -3.3479
-2.2165 -1.3976 -1.6740
0.0000 0.0000 0.0000
```

## Nb2Tc (PBE)

Data for crystalline Nb2Tc at its relaxed geometry.

As for the excess energy over the best structure of this formula in the dataset: 25.6 kJ/mol of formula units. Its density of states at the Fermi level is 1.56 states/eV/cell. The electronic total energy comes out at -10.356 eV/atom. Its space group is P-3m1 (164). The formation energy comes out at -0.187 eV per atom.

Structure (POSCAR):
```
Nb2Tc
1.0
4.5098 0.0000 0.0000
-2.2549 3.9056 0.0000
0.0000 0.0000 2.8702
Nb Tc
2 1
Cartesian
2.2549 1.3019 0.4980
0.0000 2.6038 2.3722
0.0000 0.0000 1.4351
```

## YOsS2N (PBE)

Data for crystalline YOsS2N at its relaxed geometry.

As for the excess energy over the best structure of this formula in the dataset: 0.0 kJ/mol of formula units. The formation energy without anion corrections comes out at -0.493 eV/atom. Its density of states at the Fermi level is 3.78 states/eV/cell. The electronic total energy comes out at -7.348 eV/atom. Its space group is P4/mmm (123).

Structure (POSCAR):
```
YOsS2N
1.0
4.8695 0.0000 0.0000
0.0000 4.8695 0.0000
0.0000 0.0000 3.7170
N S Y Os
1 2 1 1
Cartesian
0.0000 0.0000 1.8585
0.0000 2.4347 0.0000
2.4347 0.0000 0.0000
2.4347 2.4347 1.8585
0.0000 0.0000 0.0000
```

## Li3Zn2Ga3 (PBE)

Data for crystalline Li3Zn2Ga3 at its relaxed geometry.

As for the excess energy over the best structure of this formula in the dataset: 15.9 kJ/mol of formula units. Its density of states at the Fermi level is 3.37 states/eV/cell. The electronic total energy comes out at -2.386 eV/atom. Its space group is Cmcm (63). The formation energy comes out at -0.215 eV per atom.

Structure (POSCAR):
```
Li3Zn2Ga3
1.0
-2.6343 -1.3579 -3.2356
3.0740 -3.4899 1.9371
-9.2628 -3.2222 8.8937
Li Zn Ga
6 4 6
Cartesian
-5.9746 -4.7244 6.8470
-3.8790 -5.3197 2.4156
-0.6305 -4.1897 -0.7034
-2.8485 -3.3457 0.7482
-4.9441 -2.7503 5.1796
-8.1926 -3.8804 8.2986
-0.4595 -2.1273 1.2669
-8.3636 -5.9428 6.3283
-2.7257 -2.9156 3.4428
-6.0974 -5.1545 4.1524
-8.0112 -3.6960 5.0985
-1.7441 -1.6165 -0.8767
-7.0790 -6.4535 8.4719
-4.9416 -2.7289 2.1934
-3.8815 -5.3412 5.4018
-0.8119 -4.3740 2.4967
```

## CeSn7 (PBE)

Data for crystalline CeSn7 at its relaxed geometry.

Its density of states at the Fermi level is 10.33 states/eV/cell. The electronic total energy comes out at -4.440 eV/atom. Its space group is Fm-3m (225). The formation energy comes out at -0.196 eV per atom.

Structure (POSCAR):
```
CeSn7
1.0
6.7479 0.0000 0.0000
3.3740 5.8439 0.0000
3.3740 1.9480 5.5097
Sn Ce
7 1
Cartesian
3.3740 3.8959 2.7548
3.3740 0.0000 0.0000
5.0610 0.9740 2.7548
1.6870 2.9219 0.0000
1.6870 0.9740 2.7548
6.7479 3.8959 2.7548
5.0610 2.9219 0.0000
0.0000 0.0000 0.0000
```

## ZrGaAu (PBE)

Data for crystalline ZrGaAu at its relaxed geometry.

Its density of states at the Fermi level is 3.92 states/eV/cell. The electronic total energy comes out at -5.471 eV/atom. Its space group is Imma (74). The formation energy comes out at -0.520 eV per atom.

Structure (POSCAR):
```
ZrGaAu
1.0
5.4684 -0.0546 0.0188
2.1917 5.0105 0.0187
-2.0463 -1.3238 4.0214
Ga Zr Au
2 2 2
Cartesian
3.6706 0.7885 2.8255
5.5472 2.0019 1.4330
2.8981 2.0848 0.1092
6.7276 4.5625 0.1276
1.8076 -0.4161 1.4784
1.9412 3.2624 2.7611
```

## Cs2Ge2Os (PBE)

Data for crystalline Cs2Ge2Os at its relaxed geometry.

As for the excess energy over the best structure of this formula in the dataset: 0.0 kJ/mol of formula units. Its density of states at the Fermi level is 8.44 states/eV/cell. The electronic total energy comes out at -4.062 eV/atom. Its space group is P4/mbm (127). The formation energy comes out at 0.373 eV per atom.

Structure (POSCAR):
```
Cs2Ge2Os
1.0
-5.4725 2.6134 3.2459
-3.8048 -0.9482 -5.6514
-1.6381 -6.0636 2.1203
Ge Cs Os
4 4 2
Cartesian
-7.0030 1.3449 -1.5642
-4.4719 -0.0130 -3.4919
-2.2744 0.3203 -0.8412
-4.8055 1.6781 1.0864
-3.2607 -2.3543 1.1113
-7.6547 -2.0442 -1.3965
-6.5550 -1.1867 1.9053
-4.3604 -3.2118 -2.1905
0.0000 0.0000 0.0000
-4.6387 0.8326 -1.2027
```

## CsTlBiCl6 (PBE)

Data for crystalline CsTlBiCl6 at its relaxed geometry.

The formation energy without anion corrections comes out at -1.139 eV/atom. Its density of states at the Fermi level is 5.53 states/eV/cell. The electronic total energy comes out at -3.159 eV/atom. Its space group is P312 (149).

Structure (POSCAR):
```
CsTlBiCl6
1.0
7.3810 -0.0004 0.0002
3.6902 6.3916 0.0008
0.0003 0.0003 7.6243
Cs Cl Tl Bi
1 6 1 1
Cartesian
7.3811 -0.0001 7.6244
6.4826 6.2988 5.4211
6.0650 2.4645 5.4206
8.6967 2.4644 2.2044
5.1670 4.0199 2.2045
8.2786 6.2987 2.2049
9.5947 4.0197 5.4208
3.6902 2.1306 3.8124
7.3809 4.2610 3.8127
```